i | A plane-wave DFT calculation with GGA-PBE was carried out for a relaxed structure of SrHoGa4.

a = 4.2741 Å, b = 4.2741 Å, c = 8.1608 Å
α = 105.18°, β = 105.18°, γ = 90.00°
Fractional coordinates of all 6 atoms:
Ga 0.4199 0.4199 0.8398
Sr 0.2500 0.7500 0.5000
Ga 0.8361 0.3361 0.6721
Ga 0.5801 0.5801 0.1602
Ga 0.6639 0.1639 0.3279
Ho 0.0000 0.0000 0.0000

Summary:
crystal system: tetragonal
magnetic moment: 0.0000 μB per atom

ii | A plane-wave DFT calculation with GGA-PBE was carried out for a relaxed structure of SrHoGa4.

a = 5.6392 Å, b = 5.6392 Å, c = 5.6392 Å
α = 60.00°, β = 60.00°, γ = 60.00°
Fractional coordinates of all 6 atoms:
Ga 0.6255 0.1235 0.6255
Ho 0.0000 0.0000 0.0000
Ga 0.1235 0.6255 0.6255
Sr 0.2500 0.2500 0.2500
Ga 0.6255 0.6255 0.6255
Ga 0.6255 0.6255 0.1235

Summary:
crystal system: cubic
magnetic moment: 0.0000 μB per atom

Which of them is least stable? Easy: ii.